VASP calculation (SCAN) on a crystal of TlCu2Ag relaxed with PBEsol.

The calculated density comes out at 11.64 g/cm³. The formation enthalpy at 0 K is 0.243 eV/atom. As for the density of states at the Fermi level: 0.29 states/eV per atom. The energy above the lowest structure with this stoichiometry is 0.0000 eV/atom.

Cell: 3.063 4.538 5.025 Å, 108.57 107.74 90.00°
Positions (direct):
1 Tl 0.485 0.459 0.969
2 Cu 0.727 0.262 0.454
3 Cu 0.020 0.980 0.041
4 Ag 0.268 0.799 0.536

***

VASP calculation (SCAN) on a crystal of Li2PrIn relaxed with PBEsol.

The calculated density comes out at 5.35 g/cm³. The formation enthalpy at 0 K is -0.417 eV/atom. As for the density of states at the Fermi level: 0.22 states/eV per atom.

Cell: 4.911 4.911 4.911 Å, 60.00 60.00 60.00°
Positions (direct):
1 Pr 0.500 0.500 0.500
2 In 0.000 0.000 0.000
3 Li 0.750 0.750 0.750
4 Li 0.250 0.250 0.250

***

VASP calculation (SCAN) on a crystal of GeSeI2 relaxed with PBEsol.

The calculated density comes out at 6.62 g/cm³. As for the density of states at the Fermi level: 1.06 states/eV per atom. As for the uncorrected formation energy: 0.6051 eV per atom.

Cell: 5.240 5.240 5.240 Å, 60.00 60.00 60.00°
Positions (direct):
1 I 0.750 0.750 0.750
2 I 0.250 0.250 0.250
3 Ge 0.000 0.000 0.000
4 Se 0.500 0.500 0.500

***

VASP calculation (SCAN) on a crystal of ZrSc2Al relaxed with PBEsol.

The calculated density comes out at 4.23 g/cm³. The formation enthalpy at 0 K is -0.217 eV/atom. As for the density of states at the Fermi level: 1.12 states/eV per atom.

Cell: 4.261 4.261 5.414 Å, 113.17 113.17 90.00°
Positions (direct):
1 Sc 0.750 0.250 0.500
2 Sc 0.250 0.750 0.500
3 Zr 0.500 0.500 0.000
4 Al 0.000 0.000 0.000

***

VASP calculation (SCAN) on a crystal of Mn2TlAs relaxed with PBEsol.

The calculated density comes out at 10.04 g/cm³. The formation enthalpy at 0 K is 0.159 eV/atom. As for the density of states at the Fermi level: 0.34 states/eV per atom. The energy above the lowest structure with this stoichiometry is 0.1396 eV/atom.

Cell: 2.885 2.885 7.735 Å, 90.00 90.00 90.00°
Positions (direct):
1 As 0.500 0.500 0.835
2 Tl 0.000 0.000 0.454
3 Mn 0.000 0.000 0.022
4 Mn 0.500 0.500 0.188

***

VASP calculation (SCAN) on a crystal of Ba2LiAg relaxed with PBEsol.

The calculated density comes out at 4.63 g/cm³. The formation enthalpy at 0 K is -0.063 eV/atom. As for the density of states at the Fermi level: 0.85 states/eV per atom. The energy above the lowest structure with this stoichiometry is 0.0697 eV/atom.

Cell: 3.968 5.680 7.066 Å, 113.07 106.31 90.00°
Positions (direct):
1 Ag 0.779 0.275 0.558
2 Ba 0.243 0.741 0.487
3 Ba 0.044 0.048 0.088
4 Li 0.434 0.436 0.868